{
  "formula": "NpSnIr4",
  "functional": "PBE",
  "state": "optimized geometry",
  "lattice_angstrom": [[-1.4849, -1.7116, -4.8113], [3.5997, -2.1027, -3.3021], [-0.0866, -5.2110, -1.0587]],
  "species": ["Ir", "Ir", "Ir", "Ir", "Np", "Sn"],
  "fractional_positions": [[0.6255, 0.6255, 0.6255], [0.6255, 0.1234, 0.6255], [0.6255, 0.6255, 0.1234], [0.1234, 0.6255, 0.6255], [0.2500, 0.2500, 0.2500], [0.0000, 0.0000, 0.0000]],
  "formation_energy_ev_per_atom": -0.239,
  "crystal_system": "cubic",
  "sg": "F-43m",
  "dos_ef_per_ev_atom": 1.07
}